! La2CdSb4Pd3 (PBE, relaxed); values from VASP
! Formation energy from raw total energies   -17.4 kcal/mol of atoms
! Symmetry   P-4m2, No. 115
&SYSTEM
  ibrav = 0, nat = 10, ntyp = 4
/
ATOMIC_SPECIES
Pd 106.42 Pd.upf
Cd 112.41 Cd.upf
Sb 121.76 Sb.upf
La 138.91 La.upf
ATOMIC_POSITIONS crystal
Pd 0.0000 0.0000 0.5000
Pd 0.0000 0.5000 0.1282
Cd 0.5000 0.5000 0.5000
Sb 0.5000 0.0000 0.6452
Sb 0.0000 0.0000 0.0000
Sb 0.5000 0.5000 0.0000
Pd 0.5000 0.0000 0.8718
La 0.5000 0.0000 0.2475
Sb 0.0000 0.5000 0.3548
La 0.0000 0.5000 0.7525
CELL_PARAMETERS angstrom
4.5846 0.0000 0.0000
0.0000 4.5846 0.0000
0.0000 0.0000 11.4992

---

! LaCd2SbPd2 (PBE, relaxed); values from VASP
! Formation energy from raw total energies   -8.4 kcal/mol of atoms
! Symmetry   I4/mmm, No. 139
&SYSTEM
  ibrav = 0, nat = 6, ntyp = 4
/
ATOMIC_SPECIES
Sb 121.76 Sb.upf
Cd 112.41 Cd.upf
Pd 106.42 Pd.upf
La 138.91 La.upf
ATOMIC_POSITIONS crystal
Sb 0.0000 0.0000 0.0000
Cd 0.7500 0.2500 0.5000
Pd 0.7641 0.7641 0.5283
Cd 0.2500 0.7500 0.5000
La 0.5000 0.5000 0.0000
Pd 0.2359 0.2359 0.4717
CELL_PARAMETERS angstrom
-2.2058 2.2654 4.2236
-4.7813 -1.3621 -1.7664
3.8450 -5.2880 1.5491

---

! LaCd2SbPd4 (PBE, relaxed); values from VASP
! Formation energy from raw total energies   -11.6 kcal/mol of atoms
! Symmetry   R-3m, No. 166
&SYSTEM
  ibrav = 0, nat = 8, ntyp = 4
/
ATOMIC_SPECIES
Cd 112.41 Cd.upf
La 138.91 La.upf
Pd 106.42 Pd.upf
Sb 121.76 Sb.upf
ATOMIC_POSITIONS crystal
Cd 0.7451 0.7451 0.7648
La 0.0000 0.0000 0.0000
Pd 0.3827 0.3827 0.8519
Cd 0.2549 0.2549 0.2352
Pd 0.8679 0.8679 0.3964
Sb 0.5000 0.5000 0.5000
Pd 0.6173 0.6173 0.1481
Pd 0.1321 0.1321 0.6036
CELL_PARAMETERS angstrom
4.9033 0.0000 0.0000
2.4516 4.2464 0.0000
2.4516 1.4155 7.6375

---

! LaCdSi2Pd5 (PBE, relaxed); values from VASP
! Formation energy from raw total energies   -14.1 kcal/mol of atoms
! Symmetry   P4/mmm, No. 123
&SYSTEM
  ibrav = 0, nat = 9, ntyp = 4
/
ATOMIC_SPECIES
La 138.91 La.upf
Pd 106.42 Pd.upf
Cd 112.41 Cd.upf
Si 28.09 Si.upf
ATOMIC_POSITIONS crystal
La 0.0000 0.0000 0.5000
Pd 0.0000 0.5000 0.7463
Pd 0.0000 0.5000 0.2537
Pd 0.5000 0.5000 0.5000
Pd 0.5000 0.0000 0.7463
Cd 0.0000 0.0000 0.0000
Pd 0.5000 0.0000 0.2537
Si 0.5000 0.5000 0.8684
Si 0.5000 0.5000 0.1316
CELL_PARAMETERS angstrom
4.2969 0.0000 0.0000
0.0000 4.2969 0.0000
0.0000 0.0000 8.6907

---

! La2CdSn4Pd3 (PBE, relaxed); values from VASP
! E_form   -728 meV/atom
! Symmetry   P-4m2, No. 115
&SYSTEM
  ibrav = 0, nat = 10, ntyp = 4
/
ATOMIC_SPECIES
Pd 106.42 Pd.upf
La 138.91 La.upf
Sn 118.71 Sn.upf
Cd 112.41 Cd.upf
ATOMIC_POSITIONS crystal
Pd 0.0000 0.0000 0.5000
La 0.0000 0.5000 0.7527
Sn 0.0000 0.5000 0.3562
Pd 0.0000 0.5000 0.1287
Sn 0.5000 0.0000 0.6438
Sn 0.0000 0.0000 0.0000
La 0.5000 0.0000 0.2473
Cd 0.5000 0.5000 0.5000
Pd 0.5000 0.0000 0.8713
Sn 0.5000 0.5000 0.0000
CELL_PARAMETERS angstrom
-3.5418 2.7605 -0.7111
-1.6969 -1.1305 4.0636
5.8021 8.6912 4.8407

---

! La2CdSn3Pd4 (PBE, relaxed); values from VASP
! E_form   -763 meV/atom
! Symmetry   P-4m2, No. 115
&SYSTEM
  ibrav = 0, nat = 10, ntyp = 4
/
ATOMIC_SPECIES
Cd 112.41 Cd.upf
La 138.91 La.upf
Pd 106.42 Pd.upf
Sn 118.71 Sn.upf
ATOMIC_POSITIONS crystal
Cd 0.5000 0.5000 0.5000
La 0.5000 0.0000 0.2445
Pd 0.0000 0.0000 0.0000
Pd 0.5000 0.0000 0.6347
Sn 0.0000 0.5000 0.1262
Pd 0.5000 0.5000 0.0000
Sn 0.0000 0.0000 0.5000
Sn 0.5000 0.0000 0.8738
Pd 0.0000 0.5000 0.3653
La 0.0000 0.5000 0.7555
CELL_PARAMETERS angstrom
4.6019 0.0000 0.0000
0.0000 4.6019 0.0000
0.0000 0.0000 10.8803

---

! La2CdSnPd (PBE, relaxed); values from VASP
! E_form   -374 meV/atom
! Symmetry   P4/mmm, No. 123
&SYSTEM
  ibrav = 0, nat = 5, ntyp = 4
/
ATOMIC_SPECIES
Cd 112.41 Cd.upf
La 138.91 La.upf
Pd 106.42 Pd.upf
Sn 118.71 Sn.upf
ATOMIC_POSITIONS crystal
Cd 0.5000 0.5000 0.5000
La 0.0000 0.0000 0.5000
Pd 0.0000 0.0000 0.0000
Sn 0.0000 0.5000 0.0000
La 0.5000 0.0000 0.0000
CELL_PARAMETERS angstrom
5.6446 0.0000 0.0000
0.0000 5.0713 0.0000
0.0000 0.0000 5.6446

---

! LaCd2SnPd4 (PBE, relaxed); values from VASP
! E_form   -545 meV/atom
! Symmetry   R-3m, No. 166
&SYSTEM
  ibrav = 0, nat = 8, ntyp = 4
/
ATOMIC_SPECIES
Cd 112.41 Cd.upf
Sn 118.71 Sn.upf
Pd 106.42 Pd.upf
La 138.91 La.upf
ATOMIC_POSITIONS crystal
Cd 0.7470 0.7470 0.7589
Sn 0.5000 0.5000 0.5000
Pd 0.3842 0.3842 0.8473
Pd 0.8684 0.8684 0.3947
Pd 0.1316 0.1316 0.6053
Cd 0.2530 0.2530 0.2411
La 0.0000 0.0000 0.0000
Pd 0.6158 0.6158 0.1527
CELL_PARAMETERS angstrom
-0.2669 -1.9528 4.4311
3.6964 -2.6272 1.7187
4.2728 4.8335 5.0413

---

Total magnetization, record by record: 0.00, 0.00, 0.00, 0.00, 0.00, 0.00, 0.00, 0.00 μB per cell